The following is a GGA-PBE calculation of crystalline ZnAgPd6 at its relaxed geometry, from Alexandria.

E_tot	-4.561	eV/atom
density	10.90	Mg/m³
excess energy over the best structure of this formula in the dataset	0.018	eV/atom
D(E_F)	11.76	states/eV/cell
M_tot	0.00	μB per formula unit

```
data_ZnAgPd6
_space_group_name_H-M_alt 'P 4/m m m'
_space_group_IT_number 123
_space_group_name_Hall '-P 4 2'
_cell_length_a 3.976
_cell_length_b 3.976
_cell_length_c 7.826
_cell_angle_alpha 90.00
_cell_angle_beta 90.00
_cell_angle_gamma 90.00
loop_
_atom_site_label
_atom_site_type_symbol
_atom_site_fract_x
_atom_site_fract_y
_atom_site_fract_z
Zn1 Zn 0.000 0.000 0.000
Ag1 Ag 0.000 0.000 0.500
Pd1 Pd 0.000 0.500 0.242
Pd2 Pd 0.500 0.500 0.000
Pd3 Pd 0.500 0.500 0.500
```



The following is a GGA-PBE calculation of crystalline TbCePm2 at its relaxed geometry, from Alexandria.

E_tot	-4.940	eV/atom
density	7.47	Mg/m³
excess energy over the best structure of this formula in the dataset	0.012	eV/atom
D(E_F)	8.15	states/eV/cell
M_tot	0.67	μB per formula unit

```
data_TbCePm2
_space_group_name_H-M_alt 'P 4/m m m'
_space_group_IT_number 123
_space_group_name_Hall '-P 4 2'
_cell_length_a 5.077
_cell_length_b 5.077
_cell_length_c 5.079
_cell_angle_alpha 90.00
_cell_angle_beta 90.00
_cell_angle_gamma 90.00
loop_
_atom_site_label
_atom_site_type_symbol
_atom_site_fract_x
_atom_site_fract_y
_atom_site_fract_z
Tb1 Tb 0.000 0.000 0.000
Ce1 Ce 0.500 0.500 0.000
Pm1 Pm 0.000 0.500 0.500
```



The following is a GGA-PBE calculation of crystalline ThCo2Au at its relaxed geometry, from Alexandria.

E_tot	-6.469	eV/atom
density	12.18	Mg/m³
D(E_F)	10.00	states/eV/cell
M_tot	0.63	μB per formula unit

```
data_ThCo2Au
_space_group_name_H-M_alt 'R -3 m'
_space_group_IT_number 166
_space_group_name_Hall '-R 3 2"'
_cell_length_a 4.4633
_cell_length_b 4.4633
_cell_length_c 12.9636
_cell_angle_alpha 90.00
_cell_angle_beta 90.00
_cell_angle_gamma 120.00
loop_
_atom_site_label
_atom_site_type_symbol
_atom_site_fract_x
_atom_site_fract_y
_atom_site_fract_z
Th1 Th 0.0000 0.0000 0.0000
Co1 Co 0.0000 0.0000 0.1868
Au1 Au 0.0000 0.0000 0.5000
```



Which formula does entry 2 have?
TbCePm2



The lowest density belongs to which entry?
TbCePm2



Which value of E_tot does entry 3 give?
-6.469 eV/atom